Zr2ScCd, optimized geometry, DFT PBE-GGA; magnetic moment = 0.00 μB/cell; formation energy = -1.0 kJ/mol of atoms; SG = No. 65
1.0
3.139 -4.547 0.000
3.139 4.547 0.000
0.000 0.000 3.166
Zr Sc Cd
2 1 1
Direct
0.000 0.500 0.000 Zr
0.500 0.000 0.000 Zr
0.000 0.000 0.500 Sc
0.500 0.500 0.500 Cd